DFT (PBE-GGA) results for CoPAu2 after structural relaxation.

```
CoPAu2
1.0
-0.9865 -4.3272 -0.6755
2.7900 -0.9289 1.8760
0.2060 -0.8930 5.4195
Au Co P
2 1 1
direct
0.0000 0.7606 0.0005 Au
0.0000 0.7394 0.4995 Au
0.5000 0.2500 0.2500 Co
0.5000 0.7500 0.7500 P
```

Properties
D(E_F) ... 3.5 states/eV/cell
Excess energy over the best structure of this formula in the dataset ... 292.5 meV/atom
Crystal system ... monoclinic


DFT (PBE-GGA) results for Co2PAu after structural relaxation.

```
Co2PAu
1.0
7.8815 -0.0077 -0.0046
7.3942 2.7282 -0.0046
7.3942 1.3168 2.3893
Au Co P
1 2 1
direct
0.7500 0.7500 0.7500 Au
0.9843 0.9843 0.9843 Co
0.5157 0.5157 0.5157 Co
0.2500 0.2500 0.2500 P
```

Properties
D(E_F) ... 3.3 states/eV/cell
Excess energy over the best structure of this formula in the dataset ... 101.7 meV/atom
Crystal system ... trigonal


DFT (PBE-GGA) results for CoP2Au after structural relaxation.

```
CoP2Au
1.0
2.7528 0.0142 0.0000
-0.0148 2.7528 0.0000
0.0000 0.0000 7.7774
Au Co P
1 1 2
direct
0.0000 0.0000 0.5217 Au
0.5000 0.5000 0.7912 Co
0.0000 0.0000 0.9373 P
0.5000 0.5000 0.2498 P
```

Properties
D(E_F) ... 2.1 states/eV/cell
Excess energy over the best structure of this formula in the dataset ... 370.5 meV/atom
Crystal system ... tetragonal


DFT (PBE-GGA) results for Co2PAu after structural relaxation.

```
Co2PAu
1.0
4.9841 0.0000 0.0000
0.0000 4.9841 0.0000
2.4920 2.4920 5.6844
Co Au P
4 2 2
direct
0.5588 0.1250 0.2500 Co
0.1912 0.6250 0.2500 Co
0.3750 0.4412 0.7500 Co
0.8750 0.8088 0.7500 Co
0.0000 0.0000 0.0000 Au
0.7500 0.2500 0.5000 Au
0.5000 0.5000 0.0000 P
0.2500 0.7500 0.5000 P
```

Properties
D(E_F) ... 2.0 states/eV/cell
Excess energy over the best structure of this formula in the dataset ... 604.8 meV/atom
Crystal system ... tetragonal


DFT (PBE-GGA) results for CoPAu2 after structural relaxation.

```
CoPAu2
1.0
-0.7515 -1.4285 -3.4835
-1.4671 -3.3182 -1.2561
-5.8350 1.9359 -0.2321
Au Co P
2 1 1
direct
0.0236 0.0236 0.0233 Au
0.7695 0.7695 0.7127 Au
0.4990 0.4990 0.4211 Co
0.2079 0.2079 0.3429 P
```

Properties
D(E_F) ... 2.2 states/eV/cell
Excess energy over the best structure of this formula in the dataset ... 27.1 meV/atom
Crystal system ... monoclinic


DFT (PBE-GGA) results for Co2PAu after structural relaxation.

```
Co2PAu
1.0
-2.6247 2.1677 2.6531
2.0886 -2.2821 3.0094
1.9221 2.0538 0.2235
Au Co P
1 2 1
direct
0.0000 0.5000 0.5000 Au
0.0000 0.0000 0.0000 Co
0.5000 0.5000 0.0000 Co
0.5000 0.0000 0.5000 P
```

Properties
D(E_F) ... 4.0 states/eV/cell
Excess energy over the best structure of this formula in the dataset ... 376.5 meV/atom
Crystal system ... orthorhombic


DFT (PBE-GGA) results for CoP2Au after structural relaxation.

```
CoP2Au
1.0
-4.7124 -1.4564 0.9108
-1.5395 -3.9411 -2.6935
3.3787 1.5952 3.3462
Au Co P
1 1 2
direct
0.4940 0.4940 0.0000 Au
0.2122 0.7122 0.5000 Co
0.0253 0.0253 0.0000 P
0.7685 0.2685 0.5000 P
```

Properties
D(E_F) ... 2.1 states/eV/cell
Excess energy over the best structure of this formula in the dataset ... 523.2 meV/atom
Crystal system ... orthorhombic


DFT (PBE-GGA) results for Co2PAu after structural relaxation.

```
Co2PAu
1.0
4.6391 -0.0152 0.0000
1.6833 4.3229 0.0000
-3.1612 -2.1538 2.6247
Au Co P
1 2 1
direct
0.7500 0.2500 0.5000 Au
0.0000 0.0000 0.0000 Co
0.2500 0.7500 0.5000 Co
0.5000 0.5000 0.0000 P
```

Properties
D(E_F) ... 3.8 states/eV/cell
Excess energy over the best structure of this formula in the dataset ... 429.4 meV/atom
Crystal system ... tetragonal


DFT (PBE-GGA) results for CoPAu2 after structural relaxation.

```
CoPAu2
1.0
-4.1819 4.9227 1.7916
-4.1463 3.3455 4.0678
2.4757 2.0967 1.4141
Au Co P
2 1 1
direct
0.0725 0.0725 0.9762 Au
0.4275 0.4275 0.5238 Au
0.7500 0.7500 0.7500 Co
0.2500 0.2500 0.2500 P
```

Properties
D(E_F) ... 2.8 states/eV/cell
Excess energy over the best structure of this formula in the dataset ... 11.4 meV/atom
Crystal system ... monoclinic


DFT (PBE-GGA) results for CoPAu2 after structural relaxation.

```
CoPAu2
1.0
4.9203 0.0501 0.0000
1.7129 4.6128 0.0000
-3.3166 -2.3314 2.7887
Au Co P
2 1 1
direct
0.0000 0.0000 0.0000 Au
0.5000 0.5000 0.0000 Au
0.2500 0.7500 0.5000 Co
0.7500 0.2500 0.5000 P
```

Properties
D(E_F) ... 5.5 states/eV/cell
Excess energy over the best structure of this formula in the dataset ... 413.5 meV/atom
Crystal system ... tetragonal


DFT (PBE-GGA) results for Co2PAu after structural relaxation.

```
Co2PAu
1.0
-2.6352 -0.3476 3.2988
1.1712 -2.2031 3.4237
0.8646 2.0175 3.6235
Au Co P
1 2 1
direct
0.5000 0.5000 0.5000 Au
0.0000 0.0000 0.0000 Co
0.2500 0.2500 0.2500 Co
0.7500 0.7500 0.7500 P
```

Properties
D(E_F) ... 3.7 states/eV/cell
Excess energy over the best structure of this formula in the dataset ... 531.6 meV/atom
Crystal system ... cubic


DFT (PBE-GGA) results for CoPAu2 after structural relaxation.

```
CoPAu2
1.0
-0.0361 1.8753 4.0360
1.3534 -2.3243 3.5459
3.8350 1.0346 2.0074
Au Co P
2 1 1
direct
0.0000 0.0000 0.0000 Au
0.2500 0.2500 0.2500 Au
0.5000 0.5000 0.5000 Co
0.7500 0.7500 0.7500 P
```

Properties
D(E_F) ... 4.6 states/eV/cell
Excess energy over the best structure of this formula in the dataset ... 425.1 meV/atom
Crystal system ... cubic


DFT (PBE-GGA) results for CoP2AuS after structural relaxation.

```
CoP2AuS
1.0
4.7229 0.0000 0.0000
0.0000 4.7229 0.0000
0.0000 0.0000 4.8779
Co S Au P
1 1 1 2
direct
0.5000 0.5000 0.5000 Co
0.0000 0.0000 0.5000 S
0.0000 0.0000 0.0000 Au
0.0000 0.5000 0.0000 P
0.5000 0.0000 0.0000 P
```

Properties
Formation energy (no corrections) ... 1.5806 eV per atom
D(E_F) ... 8.8 states/eV/cell
Excess energy over the best structure of this formula in the dataset ... 1014.2 meV/atom
Crystal system ... tetragonal


DFT (PBE-GGA) results for CoP2AuS after structural relaxation.

```
CoP2AuS
1.0
-4.0394 0.6404 -0.9311
-1.1164 -1.7258 3.6564
0.2070 4.4533 2.1651
Co S Au P
1 1 1 2
direct
0.0000 0.0000 0.0000 Co
0.0000 0.0000 0.5000 S
0.5000 0.5000 0.5000 Au
0.0000 0.5000 0.0000 P
0.5000 0.0000 0.0000 P
```

Properties
Formation energy (no corrections) ... 0.5664 eV per atom
D(E_F) ... 3.4 states/eV/cell
Excess energy over the best structure of this formula in the dataset ... 0.0 meV/atom
Crystal system ... tetragonal


DFT (PBE-GGA) results for CoSbPAu2 after structural relaxation.

```
CoSbPAu2
1.0
4.5663 0.0000 0.0000
0.0000 5.7583 0.0000
0.0000 0.0000 4.5663
Sb Au P Co
1 2 1 1
direct
0.0000 0.5000 0.0000 Sb
0.0000 0.0000 0.5000 Au
0.5000 0.0000 0.0000 Au
0.0000 0.0000 0.0000 P
0.5000 0.5000 0.5000 Co
```

Properties
Formation energy (no corrections) ... 0.8076 eV per atom
D(E_F) ... 3.8 states/eV/cell
Crystal system ... tetragonal


DFT (PBE-GGA) results for Co2SnPAu after structural relaxation.

```
Co2SnPAu
1.0
-0.4395 -4.7479 0.7326
4.2473 -0.1291 1.7117
-1.7534 0.8435 4.4144
Co Au Sn P
2 1 1 1
direct
0.0000 0.0000 0.5000 Co
0.5000 0.0000 0.0000 Co
0.0000 0.0000 0.0000 Au
0.5000 0.5000 0.5000 Sn
0.0000 0.5000 0.0000 P
```

Properties
D(E_F) ... 12.3 states/eV/cell
Calculated total energy ... -21.5 eV per cell
Crystal system ... tetragonal


DFT (PBE-GGA) results for SrCoPAu after structural relaxation.

```
SrCoPAu
1.0
3.8630 0.0000 0.0000
0.0000 3.8630 0.0000
0.0000 0.0000 10.8216
Sr Co P Au
2 2 2 2
direct
0.7500 0.7500 0.2513 Sr
0.2500 0.2500 0.7487 Sr
0.7500 0.2500 0.0000 Co
0.2500 0.7500 0.0000 Co
0.7500 0.7500 0.8946 P
0.2500 0.2500 0.1054 P
0.2500 0.7500 0.5000 Au
0.7500 0.2500 0.5000 Au
```

Properties
D(E_F) ... 5.3 states/eV/cell
Calculated total energy ... -40.8 eV per cell
Crystal system ... tetragonal


DFT (PBE-GGA) results for Co2TcPAu after structural relaxation.

```
Co2TcPAu
1.0
4.1592 0.0000 0.0000
0.0000 4.3933 0.0000
0.0000 0.0000 4.1592
Co Au Tc P
2 1 1 1
direct
0.0000 0.0000 0.5000 Co
0.5000 0.0000 0.0000 Co
0.5000 0.5000 0.5000 Au
0.0000 0.5000 0.0000 Tc
0.0000 0.0000 0.0000 P
```

Properties
D(E_F) ... 4.8 states/eV/cell
Calculated total energy ... -31.6 eV per cell
Crystal system ... tetragonal


DFT (PBE-GGA) results for CoTePAu2 after structural relaxation.

```
CoTePAu2
1.0
-0.3224 -4.1749 1.8130
5.3096 -1.3944 -2.2666
2.0189 1.4978 3.8081
Co Te Au P
1 1 2 1
direct
0.5000 0.5000 0.5000 Co
0.0000 0.5000 0.0000 Te
0.0000 0.0000 0.5000 Au
0.5000 0.0000 0.0000 Au
0.0000 0.0000 0.0000 P
```

Properties
Formation energy (no corrections) ... 0.7389 eV per atom
D(E_F) ... 3.2 states/eV/cell
Crystal system ... tetragonal


DFT (PBE-GGA) results for Pa2Co2Au after structural relaxation.

```
Pa2Co2Au
1.0
-2.3936 -2.4734 -0.3846
5.2532 -4.9754 -0.6967
-0.0550 -1.0649 7.1902
Pa Co Au
4 4 2
direct
0.5000 0.1710 0.6710 Pa
0.5000 0.6710 0.8290 Pa
0.5000 0.8290 0.3290 Pa
0.5000 0.3290 0.1710 Pa
0.0000 0.3684 0.8684 Co
0.0000 0.8684 0.6316 Co
0.0000 0.6316 0.1316 Co
0.0000 0.1316 0.3684 Co
0.0000 0.0000 0.0000 Au
0.0000 0.5000 0.5000 Au
```

Properties
D(E_F) ... 9.1 states/eV/cell
Calculated total energy ... -77.6 eV per cell
Crystal system ... tetragonal


DFT (PBE-GGA) results for PaCo4Au after structural relaxation.

```
PaCo4Au
1.0
-4.5171 -1.9357 -0.6021
-1.1382 -4.3321 2.1098
-3.1595 -0.1440 3.8093
Co Pa Au
4 1 1
direct
0.6250 0.6250 0.1250 Co
0.6250 0.1250 0.6250 Co
0.6250 0.6250 0.6250 Co
0.1250 0.6250 0.6250 Co
0.2500 0.2500 0.2500 Pa
0.0000 0.0000 0.0000 Au
```

Properties
D(E_F) ... 10.4 states/eV/cell
Calculated total energy ... -42.3 eV per cell
Crystal system ... cubic


DFT (PBE-GGA) results for Pa3Co4Au after structural relaxation.

```
Pa3Co4Au
1.0
-2.7868 1.9871 0.6866
-2.6117 -4.5826 2.6619
5.5690 3.1991 4.4715
Pa Co Au
3 4 1
direct
0.3225 0.8613 0.6450 Pa
0.6775 0.1387 0.3550 Pa
0.5000 0.5000 0.0000 Pa
0.8817 0.2250 0.7634 Co
0.1183 0.7750 0.2366 Co
0.8222 0.5614 0.6444 Co
0.1778 0.4386 0.3556 Co
0.0000 0.0000 0.0000 Au
```

Properties
D(E_F) ... 7.6 states/eV/cell
Calculated total energy ... -62.0 eV per cell
Crystal system ... monoclinic


DFT (PBE-GGA) results for PaCoAu2 after structural relaxation.

```
PaCoAu2
1.0
-1.1029 0.9068 -3.4811
-3.1177 -3.6526 2.3995
-4.6255 5.9247 3.0087
Pa Co Au
2 2 4
direct
0.9089 0.8603 0.2500 Pa
0.0911 0.1397 0.7500 Pa
0.6927 0.4737 0.7500 Co
0.3073 0.5263 0.2500 Co
0.3531 0.7289 0.5638 Au
0.6469 0.2711 0.4362 Au
0.3531 0.7289 0.9362 Au
0.6469 0.2711 0.0638 Au
```

Properties
D(E_F) ... 4.8 states/eV/cell
Calculated total energy ... -49.6 eV per cell
Crystal system ... monoclinic


DFT (PBE-GGA) results for PaCoRhAu after structural relaxation.

```
PaCoRhAu
1.0
-0.1940 3.7244 2.6910
-3.5986 0.6344 2.7924
0.5179 -0.4213 4.5502
Rh Pa Au Co
1 1 1 1
direct
0.2500 0.2500 0.2500 Rh
0.5000 0.5000 0.5000 Pa
0.0000 0.0000 0.0000 Au
0.7500 0.7500 0.7500 Co
```

Properties
D(E_F) ... 2.5 states/eV/cell
Calculated total energy ... -28.7 eV per cell
Crystal system ... cubic


DFT (PBE-GGA) results for Pa2Co3Si4Au after structural relaxation.

```
Pa2Co3Si4Au
1.0
-1.3587 -2.8477 2.4404
0.2936 -2.6684 -2.9503
9.1714 -2.0244 2.7438
Pa Co Si Au
2 3 4 1
direct
0.5000 0.0000 0.2352 Pa
0.0000 0.5000 0.7648 Pa
0.0000 0.0000 0.5000 Co
0.5000 0.0000 0.8774 Co
0.0000 0.5000 0.1226 Co
0.5000 0.5000 0.0000 Si
0.0000 0.0000 0.0000 Si
0.5000 0.0000 0.6483 Si
0.0000 0.5000 0.3517 Si
0.5000 0.5000 0.5000 Au
```

Properties
Formation energy (no corrections) ... -0.6833 eV per atom
D(E_F) ... 4.9 states/eV/cell
Crystal system ... tetragonal


DFT (PBE-GGA) results for PaZnCoAu after structural relaxation.

```
PaZnCoAu
1.0
-1.1768 -4.5405 0.0646
-0.0717 -2.3469 4.0610
-4.0917 -1.3362 1.8649
Co Zn Pa Au
1 1 1 1
direct
0.0000 0.0000 0.0000 Co
0.2500 0.2500 0.2500 Zn
0.7500 0.7500 0.7500 Pa
0.5000 0.5000 0.5000 Au
```

Properties
D(E_F) ... 2.2 states/eV/cell
Calculated total energy ... -21.6 eV per cell
Crystal system ... cubic


DFT (PBE-GGA) results for Co3PbAu after structural relaxation.

```
Co3PbAu
1.0
4.7397 0.0000 0.0000
0.0000 4.7397 0.0000
0.0000 0.0000 4.7397
Pb Co Au
1 3 1
direct
0.5000 0.5000 0.5000 Pb
0.0000 0.5000 0.0000 Co
0.0000 0.0000 0.5000 Co
0.5000 0.0000 0.0000 Co
0.0000 0.0000 0.0000 Au
```

Properties
D(E_F) ... 8.3 states/eV/cell
Excess energy over the best structure of this formula in the dataset ... 0.0 meV/atom
Crystal system ... cubic


DFT (PBE-GGA) results for Co2PbAu2 after structural relaxation.

```
Co2PbAu2
1.0
-4.2966 -1.7163 -4.9218
5.2124 -1.3747 -4.0709
0.0182 -3.5614 1.2260
Pb Co Au
2 4 4
direct
0.0000 0.0000 0.0000 Pb
0.5000 0.5000 0.0000 Pb
0.3785 0.8785 0.0000 Co
0.8785 0.6215 0.0000 Co
0.6215 0.1215 0.0000 Co
0.1215 0.3785 0.0000 Co
0.1641 0.6641 0.5000 Au
0.6641 0.8359 0.5000 Au
0.8359 0.3359 0.5000 Au
0.3359 0.1641 0.5000 Au
```

Properties
D(E_F) ... 11.5 states/eV/cell
Excess energy over the best structure of this formula in the dataset ... 0.0 meV/atom
Crystal system ... tetragonal